Entry 1:
# LiLa2Pu3Se6, optimized geometry, DFT GGA-PBE
data_LiLa2Pu3Se6
_space_group_name_H-M_alt 'C 1 2/m 1'
_space_group_IT_number 12
_cell_length_a 18.341
_cell_length_b 4.203
_cell_length_c 8.421
_cell_angle_alpha 90.00
_cell_angle_beta 103.92
_cell_angle_gamma 90.00
loop_
_space_group_symop_operation_xyz
'x,y,z'
'-x,-y,-z'
'-x,y,-z'
'x,-y,z'
'x+1/2,y+1/2,z'
'-x+1/2,-y+1/2,-z'
'-x+1/2,y+1/2,-z'
'x+1/2,-y+1/2,z'
loop_
_atom_site_label
_atom_site_fract_x
_atom_site_fract_y
_atom_site_fract_z
Li1 0.000 0.000 0.000
La1 0.164 0.500 0.329
Pu1 0.000 0.000 0.500
Pu2 0.167 0.500 0.833
Se1 0.003 0.500 0.754
Se2 0.164 0.000 0.073
Se3 0.165 0.000 0.589
# - E_form (uncorrected): -1.6536 eV per atom

Entry 2:
# NdY2Th, optimized geometry, DFT GGA-PBE
data_NdY2Th
_space_group_name_H-M_alt 'R 3 m'
_space_group_IT_number 160
_space_group_name_Hall 'R 3 -2"'
_cell_length_a 3.6157
_cell_length_b 3.6157
_cell_length_c 34.8911
_cell_angle_alpha 90.00
_cell_angle_beta 90.00
_cell_angle_gamma 120.00
loop_
_atom_site_label
_atom_site_fract_x
_atom_site_fract_y
_atom_site_fract_z
Nd1 0.0000 0.0000 0.0000
Y1 0.0000 0.0000 0.5802
Y2 0.0000 0.0000 0.7521
Th1 0.0000 0.0000 0.1661
# - E above lowest polymorph: 15.2 meV per atom

| no. | size of the total moment (μB per formula unit) |
| --- | --- |
| 1 | 17.395 |
| 2 | 0.001 |